## Ti2RePb2 (PBE-GGA)

Data for a relaxed structure of Ti2RePb2.

Cell lengths 7.738, 7.738, 7.738 Å; angles 150.67, 150.67, 41.97 degrees
Atoms (fractional coordinates):
Ti  0.086  0.086  0.000
Ti  0.914  0.914  0.000
Re  0.500  0.500  0.000
Pb  0.250  0.750  0.500
Pb  0.750  0.250  0.500

Computed properties:
Fermi-level density of states, states/eV/atom: 0.897
Formation energy from the elements, eV/f.u.: 5.090
Offset from the most stable computed form, meV/atom: 586
Total DFT energy (no corrections), eV per cell: -30.56